Entry 1:
This record from Alexandria via LeMat-Bulk describes a relaxed Nd2AgPt crystal. The functional is GGA-PBE.

Summary:
ΔE_f: -713 meV per atom
Uncorrected energy: -5.320 eV per atom
N(E_F): 6.50 states/eV/cell
Space group: P2_1/m (11)

abc: 4.719 5.958 7.837
angles: 110.97 90.00 90.00
Positions (direct):
Nd1 0.750 0.238 0.423
Nd2 0.250 0.762 0.577
Nd3 0.250 0.786 0.065
Nd4 0.750 0.214 0.935
Ag1 0.750 0.675 0.291
Ag2 0.250 0.325 0.709
Pt1 0.250 0.335 0.207
Pt2 0.750 0.665 0.793

Entry 2:
This record from Alexandria via LeMat-Bulk describes a relaxed Nd3MgH crystal. The functional is GGA-PBE.

Summary:
Uncorrected energy: -4.013 eV per atom
N(E_F): 7.74 states/eV/cell
Space group: Pm-3m (221)

abc: 5.061 5.061 5.061
angles: 90.00 90.00 90.00
Positions (direct):
H1 0.000 0.000 0.000
Mg1 0.500 0.500 0.500
Nd1 0.000 0.500 0.000
Nd2 0.000 0.000 0.500
Nd3 0.500 0.000 0.000

Entry 3:
This record from Alexandria via LeMat-Bulk describes a relaxed AlFeCl2 crystal. The functional is GGA-PBE.

Summary:
ΔE to the lowest computed polymorph: 662.3 meV per atom
Uncorrected energy: -3.787 eV per atom
Raw formation energy: 73 kJ/mol of formula units
N(E_F): 1.25 states/eV/cell
Space group: Fm-3m (225)

abc: 4.758 4.758 4.758
angles: 60.00 60.00 60.00
Positions (direct):
Al1 0.000 0.000 0.000
Fe1 0.500 0.500 0.500
Cl1 0.250 0.250 0.250
Cl2 0.750 0.750 0.750

Entry 4:
This record from Alexandria via LeMat-Bulk describes a relaxed HoScInPb crystal. The functional is GGA-PBE.

Summary:
ΔE_f: -338 meV per atom
Uncorrected energy: -4.677 eV per atom
N(E_F): 3.91 states/eV/cell
Space group: F-43m (216)

abc: 5.254 5.254 5.254
angles: 60.00 60.00 60.00
Positions (direct):
Pb1 0.750 0.750 0.750
Sc1 0.000 0.000 0.000
Ho1 0.500 0.500 0.500
In1 0.250 0.250 0.250

Entry 5:
This record from Alexandria via LeMat-Bulk describes a relaxed LiZnTe2 crystal. The functional is GGA-PBE.

Summary:
Uncorrected energy: -2.515 eV per atom
Raw formation energy: -57 kJ/mol of formula units
N(E_F): 1.68 states/eV/cell
Space group: I4/mmm (139)

abc: 5.363 5.363 5.363
angles: 127.01 127.01 78.24
Positions (direct):
Li1 0.750 0.250 0.500
Te1 0.000 0.000 0.000
Te2 0.500 0.500 0.000
Zn1 0.250 0.750 0.500

Entry 6:
This record from Alexandria via LeMat-Bulk describes a relaxed BeTl2H crystal. The functional is GGA-PBE.

Summary:
ΔE to the lowest computed polymorph: 0.0 meV per atom
Uncorrected energy: -2.302 eV per atom
N(E_F): 1.53 states/eV/cell
Space group: I-42d (122)

abc: 5.147 5.147 7.200
angles: 69.06 69.06 90.00
Positions (direct):
Be1 0.000 0.000 0.000
Be2 0.750 0.250 0.500
Tl1 0.587 0.125 0.250
Tl2 0.163 0.625 0.250
Tl3 0.375 0.413 0.750
Tl4 0.875 0.837 0.750
H1 0.500 0.500 0.000
H2 0.250 0.750 0.500

Entry 7:
This record from Alexandria via LeMat-Bulk describes a relaxed SmHgPbAu crystal. The functional is GGA-PBE.

Summary:
ΔE to the lowest computed polymorph: 0.0 meV per atom
ΔE_f: -466 meV per atom
Uncorrected energy: -3.467 eV per atom
N(E_F): 1.11 states/eV/cell
Space group: I-4m2 (119)

abc: 4.903 4.903 5.412
angles: 116.94 116.93 90.00
Positions (direct):
Sm1 0.250 0.750 0.500
Hg1 0.500 0.500 0.000
Pb1 0.750 0.250 0.500
Au1 0.000 0.000 0.000

Entry 8:
This record from Alexandria via LeMat-Bulk describes a relaxed FeAgPd14 crystal. The functional is GGA-PBE.

Summary:
ΔE_f: -4 meV per atom
Uncorrected energy: -5.255 eV per atom
N(E_F): 25.59 states/eV/cell
Space group: Amm2 (38)

abc: 5.570 5.570 9.146
angles: 90.00 90.00 119.82
Positions (direct):
Fe1 0.542 0.458 0.500
Ag1 0.041 0.959 0.500
Pd1 0.208 0.792 0.000
Pd2 0.708 0.292 0.000
Pd3 0.041 0.456 0.500
Pd4 0.209 0.293 0.000
Pd5 0.544 0.959 0.500
Pd6 0.707 0.791 0.000
Pd7 0.378 0.129 0.746
Pd8 0.378 0.129 0.254
Pd9 0.871 0.622 0.746
Pd10 0.871 0.622 0.254
Pd11 0.377 0.623 0.744
Pd12 0.377 0.623 0.256
Pd13 0.875 0.125 0.752
Pd14 0.875 0.125 0.248

Entry 9:
This record from Alexandria via LeMat-Bulk describes a relaxed SmHo5Tm3 crystal. The functional is GGA-PBE.

Summary:
ΔE to the lowest computed polymorph: 381.4 meV per atom
ΔE_f: 434 meV per atom
Uncorrected energy: -4.124 eV per atom
N(E_F): 27.19 states/eV/cell
Space group: C2/m (12)

abc: 9.250 9.250 12.759
angles: 51.17 51.17 50.66
Positions (direct):
Sm1 0.895 0.895 0.870
Sm2 0.105 0.105 0.130
Ho1 0.923 0.508 0.220
Ho2 0.321 0.679 0.000
Ho3 0.630 0.630 0.072
Ho4 0.443 0.443 0.434
Ho5 0.557 0.557 0.566
Ho6 0.370 0.370 0.928
Ho7 0.508 0.923 0.220
Ho8 0.679 0.321 0.000
Ho9 0.077 0.492 0.780
Ho10 0.492 0.077 0.780
Tm1 0.696 0.696 0.682
Tm2 0.832 0.832 0.338
Tm3 0.000 0.000 0.000
Tm4 0.000 0.000 0.500
Tm5 0.304 0.304 0.318
Tm6 0.168 0.168 0.662

Entry 10:
This record from Alexandria via LeMat-Bulk describes a relaxed BeNiSe crystal. The functional is GGA-PBE.

Summary:
Uncorrected energy: -4.450 eV per atom
Raw formation energy: -34 kJ/mol of formula units
N(E_F): 3.60 states/eV/cell
Space group: Amm2 (38)

abc: 3.601 3.601 7.543
angles: 90.00 90.00 120.01
Positions (direct):
Ni1 0.600 0.199 0.000
Ni2 0.283 0.565 0.500
Be1 0.614 0.228 0.349
Be2 0.614 0.228 0.651
Se1 0.278 0.556 0.799
Se2 0.278 0.556 0.201

Entry 11:
This record from Alexandria via LeMat-Bulk describes a relaxed BaMn2Sn2 crystal. The functional is GGA-PBE.

Summary:
ΔE_f: 146 meV per atom
Uncorrected energy: -5.508 eV per atom
N(E_F): 3.76 states/eV/cell
Space group: I4/mmm (139)

abc: 4.764 4.764 6.199
angles: 67.40 67.40 90.00
Positions (direct):
Mn1 0.398 0.398 0.203
Mn2 0.602 0.602 0.797
Ba1 0.000 0.000 0.000
Sn1 0.750 0.250 0.500
Sn2 0.250 0.750 0.500

Entry 12:
This record from Alexandria via LeMat-Bulk describes a relaxed Cs2PuBr5 crystal. The functional is GGA-PBE.

Summary:
ΔE to the lowest computed polymorph: 59.3 meV per atom
Uncorrected energy: -4.691 eV per atom
Raw formation energy: -1266 kJ/mol of formula units
N(E_F): 9.60 states/eV/cell
Space group: I4mm (107)

abc: 7.919 7.919 7.919
angles: 99.65 114.59 114.59
Positions (direct):
Cs1 0.500 0.244 0.744
Cs2 0.500 0.744 0.244
Pu1 0.000 0.019 0.019
Br1 0.536 0.751 0.751
Br2 0.000 0.751 0.215
Br3 0.000 0.215 0.751
Br4 0.464 0.215 0.215
Br5 0.000 0.283 0.283

Entry 13:
This record from Alexandria via LeMat-Bulk describes a relaxed DyY12Tm6 crystal. The functional is GGA-PBE.

Summary:
ΔE to the lowest computed polymorph: 0.0 meV per atom
ΔE_f: 147 meV per atom
Uncorrected energy: -5.590 eV per atom
N(E_F): 33.84 states/eV/cell
Space group: R-3m (166)

abc: 8.645 8.645 8.645
angles: 98.06 98.06 98.06
Positions (direct):
Dy1 0.000 0.000 0.000
Y1 0.593 0.166 0.593
Y2 0.166 0.593 0.593
Y3 0.593 0.593 0.166
Y4 0.407 0.834 0.407
Y5 0.834 0.407 0.407
Y6 0.407 0.407 0.834
Y7 0.264 0.000 0.736
Y8 0.264 0.736 0.000
Y9 0.000 0.264 0.736
Y10 0.736 0.000 0.264
Y11 0.736 0.264 0.000
Y12 0.000 0.736 0.264
Tm1 0.140 0.140 0.409
Tm2 0.860 0.591 0.860
Tm3 0.591 0.860 0.860
Tm4 0.860 0.860 0.591
Tm5 0.140 0.409 0.140
Tm6 0.409 0.140 0.140

Entry 14:
This record from Alexandria via LeMat-Bulk describes a relaxed HfPa3N4 crystal. The functional is GGA-PBE.

Summary:
Uncorrected energy: -10.620 eV per atom
Raw formation energy: -1275 kJ/mol of formula units
N(E_F): 7.46 states/eV/cell
Space group: P2/c (13)

abc: 5.897 5.973 6.886
angles: 90.00 90.00 109.85
Positions (direct):
Pa1 0.750 0.000 0.373
Pa2 0.250 0.000 0.627
Pa3 0.750 0.500 0.628
Pa4 0.750 0.500 0.123
Pa5 0.250 0.500 0.372
Pa6 0.250 0.500 0.877
Hf1 0.750 0.000 0.878
Hf2 0.250 0.000 0.122
N1 0.989 0.237 0.638
N2 0.499 0.229 0.885
N3 0.489 0.237 0.362
N4 0.999 0.229 0.115
N5 0.001 0.771 0.885
N6 0.511 0.763 0.638
N7 0.501 0.771 0.115
N8 0.011 0.763 0.362

Entry 15:
This record from Alexandria via LeMat-Bulk describes a relaxed Ba2Mg2Hg crystal. The functional is GGA-PBE.

Summary:
ΔE to the lowest computed polymorph: 105.3 meV per atom
ΔE_f: -113 meV per atom
Uncorrected energy: -1.581 eV per atom
N(E_F): 4.54 states/eV/cell
Space group: I4/mmm (139)

abc: 4.288 4.288 10.899
angles: 78.66 78.66 90.00
Positions (direct):
Mg1 0.750 0.250 0.500
Mg2 0.250 0.750 0.500
Hg1 0.000 0.000 0.000
Ba1 0.403 0.403 0.193
Ba2 0.597 0.597 0.807

Entry 16:
This record from Alexandria via LeMat-Bulk describes a relaxed Ac8ThIr6 crystal. The functional is GGA-PBE.

Summary:
ΔE_f: -623 meV per atom
Uncorrected energy: -6.853 eV per atom
N(E_F): 9.16 states/eV/cell
Space group: R-3 (148)

abc: 7.573 7.573 11.042
angles: 69.95 69.95 60.00
Positions (direct):
Ac1 0.771 0.441 0.682
Ac2 0.894 0.229 0.318
Ac3 0.559 0.894 0.318
Ac4 0.333 0.333 0.000
Ac5 0.667 0.667 0.000
Ac6 0.441 0.106 0.682
Ac7 0.106 0.771 0.682
Ac8 0.229 0.559 0.318
Th1 0.000 0.000 0.000
Ir1 0.944 0.622 0.168
Ir2 0.735 0.056 0.832
Ir3 0.378 0.735 0.832
Ir4 0.622 0.265 0.168
Ir5 0.265 0.944 0.168
Ir6 0.056 0.378 0.832

Entry 17:
This record from Alexandria via LeMat-Bulk describes a relaxed CaZrO2 crystal. The functional is GGA-PBE.

Summary:
ΔE to the lowest computed polymorph: 0.0 meV per atom
Uncorrected energy: -7.616 eV per atom
Raw formation energy: -964 kJ/mol of formula units
N(E_F): 0.34 states/eV/cell
Space group: R-3m (166)

abc: 6.757 6.757 6.757
angles: 29.54 29.54 29.54
Positions (direct):
Ca1 0.500 0.500 0.500
O1 0.897 0.897 0.897
O2 0.103 0.103 0.103
Zr1 0.000 0.000 0.000

Entry 18:
This record from Alexandria via LeMat-Bulk describes a relaxed P2Os crystal. The functional is GGA-PBE.

Summary:
ΔE_f: 525 meV per atom
Uncorrected energy: -6.825 eV per atom
N(E_F): 1.87 states/eV/cell
Space group: P4/mmm (123)

abc: 3.990 3.990 2.972
angles: 90.00 90.00 90.00
Positions (direct):
Os1 0.000 0.000 0.000
P1 0.000 0.500 0.500
P2 0.500 0.000 0.500

Entry 19:
This record from Alexandria via LeMat-Bulk describes a relaxed TaInP2S crystal. The functional is GGA-PBE.

Summary:
ΔE to the lowest computed polymorph: 1557.5 meV per atom
Uncorrected energy: -4.337 eV per atom
Raw formation energy: 758 kJ/mol of formula units
N(E_F): 7.51 states/eV/cell
Space group: P4/mmm (123)

abc: 5.090 5.090 5.227
angles: 90.00 90.00 90.00
Positions (direct):
P1 0.000 0.500 0.000
P2 0.500 0.000 0.000
S1 0.000 0.000 0.500
In1 0.000 0.000 0.000
Ta1 0.500 0.500 0.500

Entry 20:
This record from Alexandria via LeMat-Bulk describes a relaxed DyGa2Se4 crystal. The functional is GGA-PBE.

Summary:
Uncorrected energy: -4.255 eV per atom
Raw formation energy: -501 kJ/mol of formula units
N(E_F): 4.27 states/eV/cell
Space group: I4/m (87)

abc: 6.310 6.310 6.310
angles: 105.61 105.61 117.50
Positions (direct):
Dy1 0.500 0.500 0.000
Ga1 0.250 0.750 0.500
Ga2 0.750 0.250 0.500
Se1 0.318 0.173 0.492
Se2 0.827 0.318 0.145
Se3 0.173 0.682 0.855
Se4 0.682 0.827 0.508